# 1
TcHSe2 | GGA-PBE | relaxed

Values from the calculation:
Calculated total energy = -4.6596 eV per atom
N(E_F) = 3.49 states/eV/f.u.
Total magnetic moment = 0.150 μB/atom

The structure in POSCAR format:
```
TcHSe2
1.0
3.6961 0.0000 0.0000
0.0000 3.6961 0.0000
0.0000 0.0000 4.6942
H Se Tc
1 2 1
direct
0.0000 0.0000 0.5000
0.5000 0.5000 0.5000
0.0000 0.0000 0.0000
0.5000 0.5000 0.0000
```


# 2
Pm4RhPb | GGA-PBE | relaxed

Values from the calculation:
N(E_F) = 5.42 states/eV/f.u.
Total magnetic moment = 0.000 μB/atom
DFT formation energy = -486 meV/atom

The structure in POSCAR format:
```
Pm4RhPb
1.0
8.6436 0.0000 4.9904
2.8812 8.1493 4.9904
0.0000 0.0000 9.9808
Pm Rh Pb
16 4 4
direct
0.1932 0.8068 0.1932
0.5614 0.5614 0.9386
0.7974 0.4009 0.4009
0.4009 0.7974 0.4009
0.9386 0.5614 0.5614
0.1932 0.1932 0.8068
0.9386 0.9386 0.5614
0.8068 0.8068 0.1932
0.8068 0.1932 0.8068
0.4009 0.4009 0.7974
0.5614 0.9386 0.9386
0.4009 0.4009 0.4009
0.1932 0.8068 0.8068
0.5614 0.9386 0.5614
0.9386 0.5614 0.9386
0.8068 0.1932 0.1932
0.6074 0.6074 0.1778
0.6074 0.1778 0.6074
0.1778 0.6074 0.6074
0.6074 0.6074 0.6074
0.1614 0.5159 0.1614
0.5159 0.1614 0.1614
0.1614 0.1614 0.5159
0.1614 0.1614 0.1614
```


# 3
MnVH2Pb | GGA-PBE | relaxed

Values from the calculation:
Calculated total energy = -5.0727 eV per atom
N(E_F) = 1.76 states/eV/f.u.
Total magnetic moment = 0.329 μB/atom

The structure in POSCAR format:
```
MnVH2Pb
1.0
-1.7992 -3.2717 0.4685
2.8769 -0.9939 4.1069
-2.5374 1.7092 2.1911
V H Mn Pb
1 2 1 1
direct
0.0000 0.5000 0.0000
0.0000 0.0000 0.5000
0.5000 0.0000 0.0000
0.0000 0.0000 0.0000
0.5000 0.5000 0.5000
```


# 4
NbGa3P | GGA-PBE | relaxed

Values from the calculation:
N(E_F) = 5.87 states/eV/f.u.
Total magnetic moment = 0.000 μB/atom
DFT formation energy = 967 meV/atom

The structure in POSCAR format:
```
NbGa3P
1.0
5.0526 0.0000 0.0000
0.0000 5.0526 0.0000
0.0000 0.0000 5.0526
Ga P Nb
3 1 1
direct
0.0000 0.0000 0.5000
0.5000 0.0000 0.0000
0.0000 0.5000 0.0000
0.5000 0.5000 0.5000
0.0000 0.0000 0.0000
```


Which value of total magnetic moment does entry 2 give?
0.000 μB/atom